[1]
A relaxed LiBeZnB crystal. Source: OQMD, functional PBE-GGA.

Theoretical density (g/cm³): 4.1
Volume (Å³/atom): 9.24
Polymorph energy (0 for the lowest one) (meV/atom): 0
Energy (eV/atom): -3.11

Lattice parameters (Å, degrees): 5.288 5.288 5.288 90.00 90.00 90.00
Space group F-43m (No. 216)
Inequivalent atoms, fractional coordinates:
1 Li 0.000 0.000 0.000 (multiplicity 4)
2 Be 0.250 0.250 0.750 (multiplicity 4)
3 Zn 0.250 0.250 0.250 (multiplicity 4)
4 B 0.000 0.000 0.500 (multiplicity 4)



[2]
A relaxed LiBeZnB crystal. Source: OQMD, functional PBE-GGA.

Theoretical density (g/cm³): 4.0
Volume (Å³/atom): 9.60
Polymorph energy (0 for the lowest one) (meV/atom): 122
Energy (eV/atom): -2.99

Lattice parameters (Å, degrees): 5.356 5.356 5.356 90.00 90.00 90.00
Space group F-43m (No. 216)
Inequivalent atoms, fractional coordinates:
1 Li 0.000 0.000 0.000 (multiplicity 4)
2 Be 0.250 0.250 0.250 (multiplicity 4)
3 Zn 0.000 0.000 0.500 (multiplicity 4)
4 B 0.250 0.250 0.750 (multiplicity 4)



[3]
A relaxed LuBe2B crystal. Source: OQMD, functional PBE-GGA.

Total magnetization (Bohr magnetons per cell): 0.00
Theoretical density (g/cm³): 7.2
Volume (Å³/atom): 11.75
Energy (eV/atom): -4.34

Lattice parameters (Å, degrees): 5.728 5.728 5.728 90.00 90.00 90.00
Space group F-43m (No. 216)
Inequivalent atoms, fractional coordinates:
1 Lu 0.000 0.000 0.000 (multiplicity 4)
2 Be 0.000 0.000 0.500 (multiplicity 4)
3 Be 0.250 0.250 0.250 (multiplicity 4)
4 B 0.250 0.250 0.750 (multiplicity 4)



[4]
A relaxed LuBeNiB crystal. Source: OQMD, functional PBE-GGA.

Total magnetization (Bohr magnetons per cell): 0.02
Theoretical density (g/cm³): 8.9
Volume (Å³/atom): 11.82
Polymorph energy (0 for the lowest one) (meV/atom): 0
Energy (eV/atom): -5.10

Lattice parameters (Å, degrees): 5.740 5.740 5.740 90.00 90.00 90.00
Space group F-43m (No. 216)
Inequivalent atoms, fractional coordinates:
1 Lu 0.000 0.000 0.000 (multiplicity 4)
2 Be 0.250 0.250 0.750 (multiplicity 4)
3 Ni 0.000 0.000 0.500 (multiplicity 4)
4 B 0.250 0.250 0.250 (multiplicity 4)



[5]
A relaxed LuBeNiB crystal. Source: OQMD, functional PBE-GGA.

Total magnetization (Bohr magnetons per cell): 0.01
Theoretical density (g/cm³): 6.2
Volume (Å³/atom): 17.01
Polymorph energy (0 for the lowest one) (meV/atom): 688
Energy (eV/atom): -4.41

Lattice parameters (Å, degrees): 6.481 6.481 6.481 90.00 90.00 90.00
Space group F-43m (No. 216)
Inequivalent atoms, fractional coordinates:
1 Lu 0.000 0.000 0.000 (multiplicity 4)
2 Be 0.250 0.250 0.250 (multiplicity 4)
3 Ni 0.250 0.250 0.750 (multiplicity 4)
4 B 0.000 0.000 0.500 (multiplicity 4)



[6]
A relaxed LuBeNiB crystal. Source: OQMD, functional PBE-GGA.

Total magnetization (Bohr magnetons per cell): 0.03
Theoretical density (g/cm³): 8.4
Volume (Å³/atom): 12.55
Polymorph energy (0 for the lowest one) (meV/atom): 134
Energy (eV/atom): -4.96

Lattice parameters (Å, degrees): 5.856 5.856 5.856 90.00 90.00 90.00
Space group F-43m (No. 216)
Inequivalent atoms, fractional coordinates:
1 Lu 0.000 0.000 0.000 (multiplicity 4)
2 Be 0.000 0.000 0.500 (multiplicity 4)
3 Ni 0.250 0.250 0.250 (multiplicity 4)
4 B 0.250 0.250 0.750 (multiplicity 4)



[7]
A relaxed LuBeBPd crystal. Source: OQMD, functional PBE-GGA.

Total magnetization (Bohr magnetons per cell): 0.00
Theoretical density (g/cm³): 9.6
Volume (Å³/atom): 13.02
Polymorph energy (0 for the lowest one) (meV/atom): 0
Energy (eV/atom): -5.12

Lattice parameters (Å, degrees): 5.928 5.928 5.928 90.00 90.00 90.00
Space group F-43m (No. 216)
Inequivalent atoms, fractional coordinates:
1 Lu 0.000 0.000 0.000 (multiplicity 4)
2 Be 0.250 0.250 0.750 (multiplicity 4)
3 B 0.250 0.250 0.250 (multiplicity 4)
4 Pd 0.000 0.000 0.500 (multiplicity 4)



[8]
A relaxed LuBeBPd crystal. Source: OQMD, functional PBE-GGA.

Total magnetization (Bohr magnetons per cell): 0.00
Theoretical density (g/cm³): 9.1
Volume (Å³/atom): 13.70
Polymorph energy (0 for the lowest one) (meV/atom): 354
Energy (eV/atom): -4.77

Lattice parameters (Å, degrees): 6.030 6.030 6.030 90.00 90.00 90.00
Space group F-43m (No. 216)
Inequivalent atoms, fractional coordinates:
1 Lu 0.000 0.000 0.000 (multiplicity 4)
2 Be 0.250 0.250 0.750 (multiplicity 4)
3 B 0.000 0.000 0.500 (multiplicity 4)
4 Pd 0.250 0.250 0.250 (multiplicity 4)



[9]
A relaxed LuBeBPt crystal. Source: OQMD, functional PBE-GGA.

Total magnetization (Bohr magnetons per cell): 0.00
Theoretical density (g/cm³): 12.6
Volume (Å³/atom): 12.89
Polymorph energy (0 for the lowest one) (meV/atom): 0
Energy (eV/atom): -5.51

Lattice parameters (Å, degrees): 5.909 5.909 5.909 90.00 90.00 90.00
Space group F-43m (No. 216)
Inequivalent atoms, fractional coordinates:
1 Lu 0.000 0.000 0.000 (multiplicity 4)
2 Be 0.250 0.250 0.250 (multiplicity 4)
3 B 0.250 0.250 0.750 (multiplicity 4)
4 Pt 0.000 0.000 0.500 (multiplicity 4)



[10]
A relaxed LuBeBPt crystal. Source: OQMD, functional PBE-GGA.

Total magnetization (Bohr magnetons per cell): 0.00
Theoretical density (g/cm³): 11.6
Volume (Å³/atom): 13.94
Polymorph energy (0 for the lowest one) (meV/atom): 467
Energy (eV/atom): -5.04

Lattice parameters (Å, degrees): 6.065 6.065 6.065 90.00 90.00 90.00
Space group F-43m (No. 216)
Inequivalent atoms, fractional coordinates:
1 Lu 0.000 0.000 0.000 (multiplicity 4)
2 Be 0.250 0.250 0.250 (multiplicity 4)
3 B 0.000 0.000 0.500 (multiplicity 4)
4 Pt 0.250 0.250 0.750 (multiplicity 4)



[11]
A relaxed MgBeNiB crystal. Source: OQMD, functional PBE-GGA.

Total magnetization (Bohr magnetons per cell): 0.02
Theoretical density (g/cm³): 4.3
Volume (Å³/atom): 9.93
Polymorph energy (0 for the lowest one) (meV/atom): 0
Energy (eV/atom): -4.20

Lattice parameters (Å, degrees): 5.417 5.417 5.417 90.00 90.00 90.00
Space group F-43m (No. 216)
Inequivalent atoms, fractional coordinates:
1 Mg 0.000 0.000 0.000 (multiplicity 4)
2 Be 0.250 0.250 0.250 (multiplicity 4)
3 Ni 0.000 0.000 0.500 (multiplicity 4)
4 B 0.250 0.250 0.750 (multiplicity 4)



[12]
A relaxed MgBeNiB crystal. Source: OQMD, functional PBE-GGA.

Total magnetization (Bohr magnetons per cell): 0.03
Theoretical density (g/cm³): 4.2
Volume (Å³/atom): 10.15
Polymorph energy (0 for the lowest one) (meV/atom): 156
Energy (eV/atom): -4.04

Lattice parameters (Å, degrees): 5.457 5.457 5.457 90.00 90.00 90.00
Space group F-43m (No. 216)
Inequivalent atoms, fractional coordinates:
1 Mg 0.000 0.000 0.000 (multiplicity 4)
2 Be 0.250 0.250 0.250 (multiplicity 4)
3 Ni 0.250 0.250 0.750 (multiplicity 4)
4 B 0.000 0.000 0.500 (multiplicity 4)



- volume of number 3 (LuBe2B)?
  11.75 Å³/atom



- What is the formula in the eighth record?
  LuBeBPd



- What is the formula in the seventh record?
  LuBeBPd



- volume of number 8 (LuBeBPd)?
  13.70 Å³/atom